First-principles (PBE) data for a relaxed AlTlP crystal, as listed in Alexandria.

## Properties
DOS at the Fermi energy	0.508	states/eV/atom
calculated density	6.20	g/cm³
formation energy from the elements	0.992	eV per formula unit

abc: 4.6310 4.6310 4.6310
angles: 60.00 60.00 60.00
Fractional positions:
1 P 0.0000 0.0000 0.0000
2 Tl 0.5000 0.5000 0.5000
3 Al 0.7500 0.7500 0.7500